Here is a relaxed Nb2Ni2Mo crystal from the Alexandria database. Energies are from PBE-GGA.

abc: 6.825 6.825 3.217
angles: 90.00 90.00 90.00
Positions (direct):
Ni (0.621, 0.121, 0.000)
Ni (0.879, 0.621, 0.000)
Ni (0.121, 0.379, 0.000)
Ni (0.379, 0.879, 0.000)
Mo (0.000, 0.000, 0.000)
Mo (0.500, 0.500, 0.000)
Nb (0.323, 0.177, 0.500)
Nb (0.677, 0.823, 0.500)
Nb (0.823, 0.323, 0.500)
Nb (0.177, 0.677, 0.500)

Results
ρ ... 8.8 Mg/m³
DOS(E_F) ... 1.4013 states/eV per atom
Calculated formation energy ... -18 meV per atom
Volume ... 15.0 Å³/atom
Total moment ... 0.0 μB/cell
Electronic total energy ... -8.52 eV/atom

=====

Here is a relaxed NbNi6Mo crystal from the Alexandria database. Energies are from PBE-GGA.

abc: 4.249 4.521 5.077
angles: 90.00 90.00 90.00
Positions (direct):
Mo (0.500, 0.651, 0.500)
Ni (0.500, 0.157, 0.255)
Ni (0.000, 0.333, 0.500)
Ni (0.000, 0.839, 0.744)
Ni (0.500, 0.157, 0.745)
Ni (0.000, 0.839, 0.256)
Ni (0.500, 0.679, 0.000)
Nb (0.000, 0.346, 0.000)

Results
ρ ... 9.2 Mg/m³
DOS(E_F) ... 0.7453 states/eV per atom
Calculated formation energy ... -201 meV per atom
Volume ... 12.2 Å³/atom
Total moment ... 0.0 μB/cell
Electronic total energy ... -7.15 eV/atom

=====

Here is a relaxed NbNi14Mo crystal from the Alexandria database. Energies are from PBE-GGA.

abc: 5.106 5.106 7.088
angles: 90.00 90.00 90.00
Site moments in Bohr magnetons follow the coordinates.
Positions (direct):
Ni (0.127, 0.127, 0.245)  0.16
Ni (0.127, 0.127, 0.755)  0.16
Ni (0.127, 0.623, 0.245)  0.16
Ni (0.623, 0.127, 0.755)  0.16
Ni (0.623, 0.127, 0.245)  0.16
Ni (0.127, 0.623, 0.755)  0.16
Ni (0.875, 0.875, 0.000)  0.47
Ni (0.875, 0.375, 0.000)  0.37
Ni (0.375, 0.875, 0.500)  0.02
Ni (0.623, 0.623, 0.245)  0.16
Ni (0.375, 0.375, 0.000)  0.55
Ni (0.875, 0.375, 0.500)  0.02
Ni (0.623, 0.623, 0.755)  0.16
Ni (0.375, 0.875, 0.000)  0.37
Mo (0.375, 0.375, 0.500)  -0.05
Nb (0.875, 0.875, 0.500)  -0.08

Results
ρ ... 9.1 Mg/m³
DOS(E_F) ... 1.6784 states/eV per atom
Calculated formation energy ... -75 meV per atom
Volume ... 11.5 Å³/atom
Total moment ... 2.7 μB/cell
Electronic total energy ... -6.44 eV/atom

=====

Here is a relaxed Nb6NiMo crystal from the Alexandria database. Energies are from PBE-GGA.

abc: 4.581 4.581 7.305
angles: 71.72 71.72 90.00
Positions (direct):
Mo (0.500, 0.500, 0.000)
Nb (0.120, 0.620, 0.759)
Nb (0.252, 0.252, 0.496)
Nb (0.748, 0.748, 0.504)
Nb (0.620, 0.120, 0.759)
Nb (0.880, 0.380, 0.241)
Nb (0.380, 0.880, 0.241)
Ni (0.000, 0.000, 0.000)

Results
ρ ... 8.6 Mg/m³
DOS(E_F) ... 0.7583 states/eV per atom
Calculated formation energy ... -46 meV per atom
Volume ... 17.2 Å³/atom
Total moment ... 0.0 μB/cell
Electronic total energy ... -9.68 eV/atom

=====

Here is a relaxed NbReNiMo2 crystal from the Alexandria database. Energies are from PBE-GGA.

abc: 4.411 4.536 4.411
angles: 90.00 90.00 90.00
Positions (direct):
Re (0.500, 0.500, 0.500)
Mo (0.000, 0.000, 0.500)
Mo (0.500, 0.000, 0.000)
Nb (0.000, 0.500, 0.000)
Ni (0.000, 0.000, 0.000)

Results
ρ ... 10.0 Mg/m³
DOS(E_F) ... 1.7153 states/eV per atom
Calculated formation energy ... 1361 meV per atom
Volume ... 17.7 Å³/atom
Total moment ... 0.0 μB/cell
Electronic total energy ... -8.63 eV/atom

=====

Here is a relaxed Nb2NiMoRh crystal from the Alexandria database. Energies are from PBE-GGA.

abc: 4.571 4.411 4.571
angles: 90.00 90.00 90.00
Positions (direct):
Rh (0.500, 0.500, 0.500)
Mo (0.000, 0.500, 0.000)
Nb (0.500, 0.000, 0.000)
Nb (0.000, 0.000, 0.500)
Ni (0.000, 0.000, 0.000)

Results
ρ ... 8.0 Mg/m³
DOS(E_F) ... 1.3607 states/eV per atom
Calculated formation energy ... 984 meV per atom
Volume ... 18.4 Å³/atom
Total moment ... 0.0 μB/cell
Electronic total energy ... -7.84 eV/atom

=====

- Which formula does entry 6 have?
  Nb2NiMoRh

=====

- total moment of number 4 (Nb6NiMo)?
  0.0 μB/cell

=====

- Among the records above, which one has the lowest electronic total energy?
  Nb6NiMo